DFT (GGA-PBE) results for crystalline Y2ScAsF at its relaxed geometry.

```
Y2ScAsF
1.0
5.7268 0.0000 0.0000
0.0000 4.1675 0.0000
0.0000 0.0000 5.7268
As Sc Y F
1 1 2 1
direct
0.0000 0.0000 0.0000 As
0.5000 0.5000 0.5000 Sc
0.0000 0.0000 0.5000 Y
0.5000 0.0000 0.0000 Y
0.0000 0.5000 0.0000 F
```

Results
SG: P4/mmm
Volume, Å³ per atom: 27.34
Total magnetic moment, μB/atom: 0.15
Formation energy without anion corrections, eV per formula unit: -2.11

DFT (GGA-PBE) results for crystalline NiBSb3 at its relaxed geometry.

```
NiBSb3
1.0
-1.6628 -4.5294 -1.1000
2.4903 -1.8506 3.8554
-3.9400 0.7419 2.9011
Ni Sb B
1 3 1
direct
0.0000 0.0000 0.0000 Ni
0.0000 0.5000 0.0000 Sb
0.0000 0.0000 0.5000 Sb
0.5000 0.0000 0.0000 Sb
0.5000 0.5000 0.5000 B
```

Results
ΔE to the lowest computed polymorph, meV per atom: 189
SG: Pm-3m
Volume, Å³ per atom: 24.24
Total magnetic moment, μB/atom: 0.00
Formation energy without anion corrections, eV per formula unit: 5.69

DFT (GGA-PBE) results for crystalline SnSb2SeI at its relaxed geometry.

```
SnSb2SeI
1.0
-5.7690 -0.1625 -0.3315
0.3687 -2.2609 -5.3075
0.0192 -5.2125 2.2218
Sn I Se Sb
1 1 1 2
direct
0.0000 0.0000 0.0000 Sn
0.0000 0.0000 0.5000 I
0.5000 0.5000 0.5000 Se
0.5000 0.0000 0.0000 Sb
0.0000 0.5000 0.0000 Sb
```

Results
ΔE to the lowest computed polymorph, meV per atom: 239
SG: P4/mmm
Volume, Å³ per atom: 37.87
Total magnetic moment, μB/atom: 0.13
Formation energy without anion corrections, eV per formula unit: 3.88

DFT (GGA-PBE) results for crystalline KTiTl2Cl8 at its relaxed geometry.

```
KTiTl2Cl8
1.0
6.8278 0.0348 -0.0031
0.0805 6.4575 0.0020
0.0075 0.0221 8.7967
Cl Ti K Tl
8 1 1 2
direct
0.2914 0.1905 0.0007 Cl
0.8703 0.2211 0.1910 Cl
0.1280 0.7775 0.1918 Cl
0.7086 0.8095 0.9993 Cl
0.3547 0.2859 0.4999 Cl
0.6453 0.7141 0.5001 Cl
0.1297 0.7789 0.8090 Cl
0.8720 0.2225 0.8082 Cl
0.0000 0.0000 0.0000 Ti
0.0000 0.0000 0.5000 K
0.4998 0.4987 0.7567 Tl
0.5002 0.5013 0.2433 Tl
```

Results
SG: P-1
Volume, Å³ per atom: 32.32
Total magnetic moment, μB/atom: 0.00
Formation energy without anion corrections, eV per formula unit: -15.40

DFT (GGA-PBE) results for crystalline ErMg2Pd3 at its relaxed geometry.

```
ErMg2Pd3
1.0
-1.4920 -4.2276 1.4076
4.8555 -5.1022 -2.3342
3.3520 0.6591 5.5320
Mg Pd Er
4 6 2
direct
0.0000 0.0000 0.0000 Mg
0.3290 0.3421 0.5000 Mg
0.0000 0.0000 0.5000 Mg
0.6710 0.6579 0.5000 Mg
0.8356 0.3287 0.7393 Pd
0.1644 0.6713 0.2607 Pd
0.5000 0.0000 0.2705 Pd
0.5000 0.0000 0.7295 Pd
0.1644 0.6713 0.7393 Pd
0.8356 0.3287 0.2607 Pd
0.3391 0.3218 0.0000 Er
0.6609 0.6782 0.0000 Er
```

Results
Formation energy from the elements, eV per atom: -0.79
ΔE to the lowest computed polymorph, meV per atom: 0
SG: Cmmm
Volume, Å³ per atom: 17.92
Total magnetic moment, μB/atom: 0.00

DFT (GGA-PBE) results for crystalline YSi2IO at its relaxed geometry.

```
YSi2IO
1.0
-1.3268 3.5687 2.5687
-3.9966 0.3625 -2.5681
-2.1191 -2.8699 2.8927
I O Y Si
1 1 1 2
direct
0.5000 0.5000 0.5000 I
0.0000 0.0000 0.0000 O
0.0000 0.5000 0.0000 Y
0.0000 0.0000 0.5000 Si
0.5000 0.0000 0.0000 Si
```

Results
SG: P4/mmm
Volume, Å³ per atom: 20.10
Total magnetic moment, μB/atom: 0.00
Formation energy without anion corrections, eV per formula unit: -1.18